Compound: K2PmVO4
Source: Alexandria
Functional: PBE with a Hubbard U
Structure: optimized geometry

Symmetry: I-4, No. 82

```
8
Lattice="5.737 0.010 0.015 -2.435 5.194 -0.015 -2.435 -2.105 4.749" Properties=species:S:1:pos:R:3 pbc="T T T"
O -1.421 2.747 3.425
V -2.435 1.545 2.367
O -1.781 0.001 3.250
K 0.433 3.375 1.183
Pm 0.433 -0.275 3.566
O 1.625 0.773 1.967
O 3.308 2.680 0.856
K 0.000 0.000 0.000
```


Compound: KPmV2O8
Source: Alexandria
Functional: PBE with a Hubbard U
Structure: optimized geometry

Symmetry: P-3m1, No. 164

```
12
Lattice="5.968 0.000 0.000 -2.984 5.168 0.000 0.000 0.000 7.793" Properties=species:S:1:pos:R:3 pbc="T T T"
K 0.000 0.000 3.897
O 1.430 4.271 6.302
O 0.000 3.445 4.020
O -1.430 4.271 6.302
O 2.984 3.374 1.492
O 1.554 0.897 1.492
O 4.414 0.897 1.492
V 2.984 1.723 2.054
Pm 0.000 0.000 0.000
O 0.000 1.794 6.302
V 0.000 3.445 5.739
O 2.984 1.723 3.773
```


Compound: KPmV2O6
Source: Alexandria
Functional: PBE with a Hubbard U
Structure: optimized geometry

Symmetry: C2/c, No. 15

```
20
Lattice="7.415 0.659 0.539 -0.254 7.440 0.539 -1.422 -1.609 5.720" Properties=species:S:1:pos:R:3 pbc="T T T"
O 1.667 3.044 2.531
V 1.076 -0.123 4.699
O 4.144 0.651 2.120
O 2.106 1.222 5.391
K 4.991 0.652 4.829
V 0.458 1.858 1.839
O 0.256 0.579 3.171
O 5.483 5.911 3.627
O 1.255 1.129 0.311
O -0.573 3.388 4.979
Pm 1.724 3.541 4.829
K 0.747 5.838 1.969
O 1.594 5.839 4.678
O 4.072 3.446 4.267
Pm 4.014 2.949 1.969
O 4.484 5.361 6.487
O 3.633 5.267 1.407
V 4.662 6.613 2.099
O 6.311 3.101 1.818
V 5.281 4.632 4.958
```


Compound: K4Pm3VO8
Source: Alexandria
Functional: PBE with a Hubbard U
Structure: optimized geometry

Symmetry: C2/m, No. 12

```
16
Lattice="-5.382 3.304 2.951 -1.099 -5.826 4.521 6.346 3.014 -0.034" Properties=species:S:1:pos:R:3 pbc="T T T"
Pm -3.240 -1.261 3.736
V -0.549 -2.913 2.260
O 1.320 1.463 5.271
O 1.639 0.734 2.168
Pm 2.624 -1.406 2.243
O 0.916 -1.905 3.805
O -1.773 -0.241 5.270
O -1.051 2.398 3.632
K 3.173 1.507 -0.017
K 0.000 0.000 0.000
O -4.397 0.836 3.779
O 4.262 -0.344 3.658
K 0.482 3.159 1.458
Pm -0.067 0.246 3.719
O -1.455 -0.970 2.166
K -2.691 1.652 1.475
```


Compound: K3Pm3WO8
Source: Alexandria
Functional: PBE with a Hubbard U
Structure: optimized geometry

Symmetry: C2/m, No. 12

```
15
Lattice="7.059 0.000 0.000 -3.530 6.075 -0.028 0.000 -4.033 6.327" Properties=species:S:1:pos:R:3 pbc="T T T"
K 0.000 0.000 0.000
O 3.530 0.023 4.341
O 5.445 -1.101 2.061
O 0.000 2.019 1.958
K 1.765 3.037 -0.014
W 0.000 -2.016 3.163
Pm 1.765 1.021 3.149
O 1.615 -1.101 2.061
Pm -1.765 1.021 3.149
O -1.915 3.143 4.238
O 1.915 3.143 4.238
O 0.000 -0.202 4.251
K -1.765 3.037 -0.014
Pm 3.530 -2.016 3.163
O 3.530 2.244 2.048
```


Compound: KPm2WO8
Source: Alexandria
Functional: PBE with a Hubbard U
Structure: optimized geometry

Symmetry: P-1, No. 2

```
12
Lattice="4.916 -0.160 0.123 -0.145 4.689 0.226 0.244 0.373 8.044" Properties=species:S:1:pos:R:3 pbc="T T T"
K 0.122 0.186 4.022
Pm 2.608 2.670 1.908
O 1.269 1.362 0.533
O 3.747 3.541 7.861
O 3.582 0.463 1.413
O 0.401 3.533 1.724
O 1.434 4.439 6.981
O 4.615 1.369 6.670
O 2.505 1.715 4.118
W 0.000 0.000 0.000
O 2.511 3.188 4.276
Pm 2.408 2.232 6.486
```


Compound: K2PmW3O12
Source: Alexandria
Functional: PBE with a Hubbard U
Structure: optimized geometry

Symmetry: R-3m, No. 166

```
18
Lattice="-3.553 2.637 6.284 -3.301 -4.796 5.017 2.965 -1.094 7.005" Properties=species:S:1:pos:R:3 pbc="T T T"
O -4.625 -1.595 8.437
O -1.620 -4.418 13.327
O -3.250 -4.013 8.604
O -1.757 -0.359 14.019
O -2.131 -2.894 4.287
O 0.736 -1.658 9.869
O -0.639 0.760 9.702
O -0.479 -3.969 8.896
W 1.482 -0.547 3.503
K -1.347 -1.127 6.341
O -3.410 0.716 9.410
O -5.179 -2.380 12.933
K -2.542 -2.126 11.965
O -2.269 1.165 4.979
W -1.776 1.319 3.142
Pm 0.000 0.000 0.000
W -1.650 -2.398 2.508
O 1.290 -0.872 5.373
```


Compound: K3PmW2O9
Source: Alexandria
Functional: PBE with a Hubbard U
Structure: optimized geometry

Symmetry: P-3m1, No. 164

```
15
Lattice="5.872 0.000 0.000 -2.936 5.085 0.000 0.000 0.000 7.324" Properties=species:S:1:pos:R:3 pbc="T T T"
K 0.000 0.000 0.000
Pm 0.000 0.000 3.662
O 2.936 0.000 0.000
O 0.000 1.827 2.237
O 1.354 4.172 2.237
K 0.000 3.390 4.948
W 2.936 1.695 6.149
O -1.468 2.543 0.000
O 4.290 0.913 5.087
O -1.354 4.172 2.237
O 1.468 2.543 0.000
K 2.936 1.695 2.376
O 2.936 3.259 5.087
O 1.582 0.913 5.087
W 0.000 3.390 1.175
```


| no. | uncorrected energy (eV/cell) |
| --- | --- |
| 1 | -50.756 |
| 2 | -83.591 |
| 3 | -147.979 |
| 4 | -103.928 |
| 5 | -102.233 |
| 6 | -84.562 |
| 7 | -126.483 |
| 8 | -101.454 |